# SrAgH8Pt2

A geometry-optimized SrAgH8Pt2 structure (PBE, Alexandria).

Lattice parameters (Å, degrees): 6.552 6.552 6.552 44.27 44.27 44.27
Atoms (fractional coordinates):
Sr 0.000 0.000 0.000
Ag 0.500 0.500 0.500
H 0.111 0.428 0.789
H 0.211 0.889 0.572
H 0.313 0.313 0.313
H 0.428 0.789 0.111
H 0.572 0.211 0.889
H 0.687 0.687 0.687
H 0.789 0.111 0.428
H 0.889 0.572 0.211
Pt 0.222 0.222 0.222
Pt 0.778 0.778 0.778

Summary:
Calculated density in Mg/m³: 7.916
E in eV/atom: -3.686
Space group: No. 148
Spin magnetization in μB/f.u.: 0.000

=====

# Sr2AgH6Pt

A geometry-optimized Sr2AgH6Pt structure (PBE, Alexandria).

Lattice parameters (Å, degrees): 5.584 5.574 5.513 60.48 60.30 59.22
Atoms (fractional coordinates):
Sr 0.250 0.250 0.250
Sr 0.750 0.750 0.750
Ag 0.000 0.000 0.000
H 0.269 0.269 0.731
H 0.271 0.729 0.271
H 0.272 0.728 0.728
H 0.728 0.272 0.272
H 0.729 0.271 0.729
H 0.731 0.731 0.269
Pt 0.500 0.500 0.500

Summary:
Calculated density in Mg/m³: 6.628
E in eV/atom: -3.648
Space group: No. 69
Spin magnetization in μB/f.u.: 0.000

=====

# Ta2AgHPt

A geometry-optimized Ta2AgHPt structure (PBE, Alexandria).

Lattice parameters (Å, degrees): 4.133 4.133 4.128 90.00 90.00 90.00
Atoms (fractional coordinates):
Ta 0.000 0.500 0.000
Ta 0.500 0.000 0.000
Ag 0.000 0.000 0.500
H 0.500 0.500 0.000
Pt 0.500 0.500 0.500

Summary:
ΔE to the lowest computed polymorph in eV/atom: 0.028
Calculated density in Mg/m³: 15.680
E in eV/atom: -7.232
Space group: No. 123
Spin magnetization in μB/f.u.: 0.000

=====

# Ta2AgHPt

A geometry-optimized Ta2AgHPt structure (PBE, Alexandria).

Lattice parameters (Å, degrees): 4.091 4.091 4.211 90.00 90.00 90.00
Atoms (fractional coordinates):
Ta 0.000 0.500 0.000
Ta 0.500 0.000 0.000
Ag 0.000 0.000 0.500
H 0.000 0.000 0.000
Pt 0.500 0.500 0.500

Summary:
ΔE to the lowest computed polymorph in eV/atom: 0.000
Calculated density in Mg/m³: 15.689
E in eV/atom: -7.260
Space group: No. 123
Spin magnetization in μB/f.u.: 0.000

=====

# ThAgH6Pt

A geometry-optimized ThAgH6Pt structure (PBE, Alexandria).

Lattice parameters (Å, degrees): 4.729 4.729 4.399 90.00 90.00 120.00
Atoms (fractional coordinates):
Th 0.000 0.000 0.000
Ag 0.333 0.667 0.500
H 0.513 0.027 0.189
H 0.513 0.027 0.811
H 0.513 0.487 0.189
H 0.513 0.487 0.811
H 0.973 0.487 0.189
H 0.973 0.487 0.811
Pt 0.667 0.333 0.500

Summary:
Calculated density in Mg/m³: 10.545
E in eV/atom: -4.163
Space group: No. 187
Spin magnetization in μB/f.u.: 0.000

=====

# Ti2AgHPt

A geometry-optimized Ti2AgHPt structure (PBE, Alexandria).

Lattice parameters (Å, degrees): 4.024 4.024 4.120 90.00 90.00 90.00
Atoms (fractional coordinates):
Ti 0.000 0.500 0.000
Ti 0.500 0.000 0.000
Ag 0.000 0.000 0.500
H 0.000 0.000 0.000
Pt 0.500 0.500 0.500

Summary:
Calculated density in Mg/m³: 9.948
E in eV/atom: -5.949
Space group: No. 123
Spin magnetization in μB/f.u.: 0.000

=====

Look up the calculated density of the second one. 6.628 Mg/m³